Compound: Mg4In3Pb
Source: the Alexandria database
Functional: PBE
Structure: relaxed

Values from the calculation:
magnetization = 0.00 μB per formula unit
mass density = 5.53 g cm⁻³
energy = -2.35 eV/atom
symmetry = Pmma

```
Mg4In3Pb
1.0
10.215 0.000 0.000
0.000 7.011 0.000
0.000 0.000 5.441
Mg In Pb
8 6 2
Direct
0.000 0.243 0.000
0.000 0.757 0.000
0.250 0.242 0.388
0.250 0.758 0.388
0.500 0.243 0.000
0.500 0.757 0.000
0.750 0.242 0.612
0.750 0.758 0.612
0.000 0.000 0.500
0.250 0.000 0.892
0.250 0.500 0.909
0.500 0.000 0.500
0.750 0.000 0.108
0.750 0.500 0.091
0.000 0.500 0.500
0.500 0.500 0.500
```



Compound: MgIn6Pb12
Source: the Alexandria database
Functional: PBE
Structure: relaxed

Values from the calculation:
magnetization = 0.00 μB per formula unit
energy above the most stable polymorph in this dataset = 0.000 eV per atom
mass density = 9.40 g cm⁻³
energy = -3.28 eV/atom
symmetry = R-3

```
MgIn6Pb12
1.0
7.547 4.357 2.865
-7.547 4.357 2.865
0.000 -8.715 2.865
Mg In Pb
1 6 12
Direct
0.000 0.000 0.000
0.213 0.465 0.316
0.316 0.213 0.465
0.465 0.316 0.213
0.535 0.684 0.787
0.684 0.787 0.535
0.787 0.535 0.684
0.066 0.379 0.585
0.098 0.737 0.152
0.152 0.098 0.737
0.263 0.848 0.902
0.379 0.585 0.066
0.415 0.934 0.621
0.585 0.066 0.379
0.621 0.415 0.934
0.737 0.152 0.098
0.848 0.902 0.263
0.902 0.263 0.848
0.934 0.621 0.415
```



Compound: Mg4In5Pb
Source: the Alexandria database
Functional: PBE
Structure: relaxed

Values from the calculation:
magnetization = 0.00 μB per formula unit
mass density = 5.83 g cm⁻³
energy = -2.42 eV/atom
symmetry = P4/mmm

```
Mg4In5Pb
1.0
3.658 0.000 0.000
0.000 3.658 0.000
0.000 0.000 18.704
Mg In Pb
4 5 1
Direct
0.000 0.000 0.094
0.000 0.000 0.285
0.000 0.000 0.715
0.000 0.000 0.906
0.500 0.500 0.000
0.500 0.500 0.189
0.500 0.500 0.380
0.500 0.500 0.620
0.500 0.500 0.811
0.000 0.000 0.500
```



Compound: Mg5In2Pb
Source: the Alexandria database
Functional: PBE
Structure: relaxed

Values from the calculation:
magnetization = 0.00 μB per formula unit
mass density = 4.87 g cm⁻³
energy = -2.21 eV/atom
symmetry = I4/mmm

```
Mg5In2Pb
1.0
-2.340 2.340 8.699
2.340 -2.340 8.699
2.340 2.340 -8.699
Mg In Pb
5 2 1
Direct
0.000 0.000 0.000
0.128 0.628 0.500
0.372 0.872 0.500
0.628 0.128 0.500
0.872 0.372 0.500
0.247 0.247 0.000
0.753 0.753 0.000
0.500 0.500 0.000
```



Compound: Mg2In3Pb4
Source: the Alexandria database
Functional: PBE
Structure: relaxed

Values from the calculation:
magnetization = 0.00 μB per formula unit
mass density = 8.07 g cm⁻³
energy = -2.92 eV/atom
symmetry = C2/m

```
Mg2In3Pb4
1.0
6.933 -2.417 0.000
6.933 2.417 0.000
-2.438 0.000 7.500
Mg In Pb
2 3 4
Direct
0.164 0.164 0.003
0.836 0.836 0.997
0.387 0.387 0.305
0.500 0.500 0.000
0.613 0.613 0.695
0.055 0.055 0.328
0.275 0.275 0.697
0.725 0.725 0.303
0.945 0.945 0.672
```



Compound: MgIn2Pb
Source: the Alexandria database
Functional: PBE
Structure: relaxed

Values from the calculation:
magnetization = 0.00 μB per formula unit
mass density = 7.06 g cm⁻³
energy = -2.68 eV/atom
symmetry = Cmmm

```
MgIn2Pb
1.0
1.804 -2.782 0.000
1.804 2.782 0.000
0.000 0.000 10.796
Mg In Pb
1 2 1
Direct
0.000 0.000 0.000
0.500 0.500 0.232
0.500 0.500 0.768
0.000 0.000 0.500
```



Compound: Mg2InPb
Source: the Alexandria database
Functional: PBE
Structure: relaxed

Values from the calculation:
magnetization = 0.00 μB per formula unit
mass density = 6.13 g cm⁻³
energy = -2.46 eV/atom
symmetry = I-4m2

```
Mg2InPb
1.0
-2.259 2.259 4.922
2.259 -2.259 4.922
2.259 2.259 -4.922
Mg In Pb
2 1 1
Direct
0.000 0.000 0.000
0.750 0.250 0.500
0.500 0.500 0.000
0.250 0.750 0.500
```



Compound: Mg3InPb7
Source: the Alexandria database
Functional: PBE
Structure: relaxed

Values from the calculation:
magnetization = 0.00 μB per formula unit
mass density = 8.29 g cm⁻³
energy = -3.00 eV/atom
symmetry = P3m1

```
Mg3InPb7
1.0
7.252 0.000 0.000
-3.626 6.281 0.000
0.000 0.000 7.207
Mg In Pb
3 1 7
Direct
0.017 0.508 0.000
0.492 0.508 0.000
0.492 0.983 0.000
0.333 0.667 0.335
0.161 0.322 0.681
0.161 0.839 0.681
0.317 0.159 0.303
0.667 0.333 0.665
0.678 0.839 0.681
0.841 0.159 0.303
0.841 0.683 0.303
```



Question: Which formula does entry 8 have?
Answer: Mg3InPb7



Question: Which value of magnetization does entry 8 give?
Answer: 0.00 μB per formula unit



Question: Which of these has the lowest energy?
Answer: MgIn6Pb12